Record 1
Computed, not measured: Sc2MnW after structural relaxation at the GGA-PBE level of DFT.

The value obtained for the energy of formation from the pure elements is 70.9 kJ per mole of atoms. Its density of states at the Fermi level is 19.8 states/eV per cell. The offset from the most stable computed form is 0.6888 eV/atom. The size of the total moment is 2.645 μB/f.u. As for the calculated total energy: -7.961 eV per atom.

The structure belongs to space group I-42d (No. 122); the cell edges are 7.323, 7.323 and 5.497 Å and the angles 90.00°, 90.00° and 90.00°. The inequivalent atoms are Sc at (0.226, 0.250, 0.125), Mn at (0.000, 0.000, 0.000) and W at (0.000, 0.000, 0.500).

Record 2
Computed, not measured: PuScNi2 after structural relaxation at the GGA-PBE level of DFT.

The value obtained for the energy of formation from the pure elements is -26.1 kJ per mole of atoms. Its density of states at the Fermi level is 9.3 states/eV per cell. The size of the total moment is 5.697 μB/f.u. As for the calculated total energy: -8.327 eV per atom.

The structure belongs to space group P4/mmm (No. 123); the cell edges are 3.190, 3.190 and 6.766 Å and the angles 90.00°, 90.00° and 90.00°. The inequivalent atoms are Pu at (0.000, 0.000, 0.000), Sc at (0.000, 0.000, 0.500) and Ni at (0.500, 0.500, 0.282).